[1]
A relaxed LiSi crystal. Source: Alexandria, functional PBE.

Results
**Spin magnetization**: 0.00 μB/f.u.
**E**: -3.43 eV per atom
**Uncorrected formation energy**: 0.2425 eV per atom
**N(E_F)**: 0.6 states/eV/f.u.

abc: 5.0490 5.0490 5.6892
angles: 90.00 90.00 90.00
Element x y z (fractional)
Li1 0.1713 0.8287 0.0000
Li2 0.6713 0.6713 0.5000
Li3 0.3287 0.3287 0.5000
Li4 0.8287 0.1713 0.0000
Si1 0.3436 0.3436 0.0000
Si2 0.8436 0.1564 0.5000
Si3 0.1564 0.8436 0.5000
Si4 0.6564 0.6564 0.0000

---

[2]
A relaxed Tb6Pr2Er3Th crystal. Source: Alexandria, functional PBE.

Results
**Spin magnetization**: 0.00 μB/f.u.
**E**: -4.84 eV per atom
**Calculated formation energy**: 35 meV/atom
**N(E_F)**: 16.3 states/eV/f.u.

abc: 6.2001 6.2001 11.8346
angles: 95.00 95.00 119.94
Element x y z (fractional)
Tb1 0.9149 0.5856 0.7471
Tb2 0.7559 0.7559 0.2530
Tb3 0.0851 0.4144 0.2529
Tb4 0.5856 0.9149 0.7471
Tb5 0.2441 0.2441 0.7470
Tb6 0.4144 0.0851 0.2529
Pr1 0.3335 0.6665 0.0000
Pr2 0.6665 0.3335 0.0000
Er1 0.1669 0.8331 0.5000
Er2 0.8331 0.1669 0.5000
Er3 0.5000 0.5000 0.5000
Th1 0.0000 0.0000 0.0000

---

[3]
A relaxed Te2MoRhI crystal. Source: Alexandria, functional PBE.

Results
**Spin magnetization**: 3.30 μB/f.u.
**E**: -4.29 eV per atom
**Uncorrected formation energy**: 0.9154 eV per atom
**N(E_F)**: 4.5 states/eV/f.u.

abc: 5.2302 5.2302 5.3332
angles: 90.00 90.00 90.00
Element x y z (fractional)
I1 0.0000 0.0000 0.5000
Mo1 0.5000 0.5000 0.5000
Te1 0.0000 0.5000 0.0000
Te2 0.5000 0.0000 0.0000
Rh1 0.0000 0.0000 0.0000

---

[4]
A relaxed YHoSc2Sb4 crystal. Source: Alexandria, functional PBE.

Results
**Spin magnetization**: 0.00 μB/f.u.
**E**: -6.06 eV per atom
**Uncorrected formation energy**: -1.0322 eV per atom
**N(E_F)**: 1.3 states/eV/f.u.

abc: 4.2768 7.4046 7.3932
angles: 109.49 90.00 90.00
Element x y z (fractional)
Y1 0.5000 0.5000 0.0000
Ho1 0.0000 0.0000 0.0000
Sc1 0.5000 0.0000 0.5000
Sc2 0.0000 0.5000 0.5000
Sb1 0.5000 0.2539 0.2643
Sb2 0.5000 0.7461 0.7357
Sb3 0.0000 0.2443 0.7351
Sb4 0.0000 0.7557 0.2649